1.
This record from Alexandria describes an optimized crystal structure of KAl2Au3. The functional is PBE.

```
data_KAl2Au3
_cell_length_a 11.394
_cell_length_b 8.293
_cell_length_c 5.620
_cell_angle_alpha 90.00
_cell_angle_beta 90.00
_cell_angle_gamma 90.00
_space_group_name_H-M_alt 'C m c m'
_space_group_IT_number 63
_space_group_name_Hall '-C 2c 2'
loop_
_atom_site_label
_atom_site_fract_x
_atom_site_fract_y
_atom_site_fract_z
K1 0.000 0.151 0.250
Al1 0.192 0.500 0.000
Au1 0.000 0.427 0.750
Au2 0.203 0.216 0.750
```

Computed properties:
mass density	8.56	g/cm³
crystal system	orthorhombic
volume	531.0	Å³/cell
ΔE_f	-267	kJ/mol of formula units



2.
This record from Alexandria describes an optimized crystal structure of Ba2AgSn. The functional is PBE.

```
data_Ba2AgSn
_cell_length_a 4.4441
_cell_length_b 4.4441
_cell_length_c 33.4297
_cell_angle_alpha 90.00
_cell_angle_beta 90.00
_cell_angle_gamma 120.00
_space_group_name_H-M_alt 'R -3 m'
_space_group_IT_number 166
_space_group_name_Hall '-R 3 2"'
loop_
_atom_site_label
_atom_site_fract_x
_atom_site_fract_y
_atom_site_fract_z
Ba1 0.0000 0.0000 0.1037
Ag1 0.0000 0.0000 0.5000
Sn1 0.0000 0.0000 0.0000
```

Computed properties:
mass density	4.37	g/cm³
crystal system	trigonal
volume	571.8	Å³/cell
ΔE_f	51	kJ/mol of formula units



3.
This record from Alexandria describes an optimized crystal structure of SrCo2. The functional is PBE.

```
data_SrCo2
_cell_length_a 4.254
_cell_length_b 4.254
_cell_length_c 13.469
_cell_angle_alpha 90.00
_cell_angle_beta 90.00
_cell_angle_gamma 90.00
_space_group_name_H-M_alt 'I 41/a m d'
_space_group_IT_number 141
loop_
_space_group_symop_operation_xyz
'x,y,z'
'-x,-y,-z'
'-y+1/4,x+3/4,z+1/4'
'y+1/4,-x+3/4,-z+1/4'
'-x+1/2,-y,z+1/2'
'x+1/2,y,-z+1/2'
'y+1/4,-x+1/4,z+3/4'
'-y+1/4,x+1/4,-z+3/4'
'x,-y,-z'
'-x,y,z'
'-y+1/4,-x+1/4,-z+3/4'
'y+1/4,x+1/4,z+3/4'
'-x+1/2,y,-z+1/2'
'x+1/2,-y,z+1/2'
'y+1/4,x+3/4,-z+1/4'
'-y+1/4,-x+3/4,z+1/4'
'x+1/2,y+1/2,z+1/2'
'-x+1/2,-y+1/2,-z+1/2'
'-y+3/4,x+1/4,z+3/4'
'y+3/4,-x+1/4,-z+3/4'
'-x,-y+1/2,z'
'x,y+1/2,-z'
'y+3/4,-x+3/4,z+1/4'
'-y+3/4,x+3/4,-z+1/4'
'x+1/2,-y+1/2,-z+1/2'
'-x+1/2,y+1/2,z+1/2'
'-y+3/4,-x+3/4,-z+1/4'
'y+3/4,x+3/4,z+1/4'
'-x,y+1/2,-z'
'x,-y+1/2,z'
'y+3/4,x+1/4,-z+3/4'
'-y+3/4,-x+1/4,z+3/4'
loop_
_atom_site_label
_atom_site_fract_x
_atom_site_fract_y
_atom_site_fract_z
Sr1 0.000 0.250 0.375
Co1 0.000 0.250 0.791
```

Computed properties:
mass density	5.60	g/cm³
crystal system	tetragonal
volume	243.7	Å³/cell
ΔE_f	105	kJ/mol of formula units